(1)
# GGA-PBE CrTcSb2Te, optimized geometry
data_CrTcSb2Te
_chemical_formula_sum 'Cr1 Tc1 Sb2 Te1'
_cell_length_a 4.996
_cell_length_b 4.996
_cell_length_c 5.309
_cell_angle_alpha 90.00
_cell_angle_beta 90.00
_cell_angle_gamma 90.00
_space_group_name_H-M_alt 'P 4/m m m'
_space_group_IT_number 123
_space_group_name_Hall '-P 4 2'
loop_
_atom_site_label
_atom_site_type_symbol
_atom_site_fract_x
_atom_site_fract_y
_atom_site_fract_z
_atom_site_occupancy
Cr1 Cr 0.000 0.000 0.000 1
Tc1 Tc 0.500 0.500 0.500 1
Sb1 Sb 0.000 0.500 0.000 1
Te1 Te 0.000 0.000 0.500 1
# **E above lowest polymorph**: 0.263 eV/atom


(2)
The following is a DFT calculation (GGA-PBE) of UCrTcSb after structural relaxation.

CIF file:
```
data_UCrTcSb
_chemical_formula_sum 'U4 Cr4 Tc4 Sb4'
_cell_length_a 6.602
_cell_length_b 6.602
_cell_length_c 6.602
_cell_angle_alpha 90.00
_cell_angle_beta 90.00
_cell_angle_gamma 90.00
_space_group_name_H-M_alt 'F -4 3 m'
_space_group_IT_number 216
_space_group_name_Hall 'F -4 2 3'
loop_
_atom_site_label
_atom_site_type_symbol
_atom_site_fract_x
_atom_site_fract_y
_atom_site_fract_z
_atom_site_occupancy
U1 U 0.000 0.000 0.000 1
Cr1 Cr 0.250 0.250 0.250 1
Tc1 Tc 0.250 0.250 0.750 1
Sb1 Sb 0.000 0.000 0.500 1
```


(3)
The following is a DFT calculation (GGA-PBE) of VCrTcSb after structural relaxation.

CIF file:
```
data_VCrTcSb
_chemical_formula_sum 'V4 Cr4 Tc4 Sb4'
_cell_length_a 6.199
_cell_length_b 6.199
_cell_length_c 6.199
_cell_angle_alpha 90.00
_cell_angle_beta 90.00
_cell_angle_gamma 90.00
_space_group_name_H-M_alt 'F -4 3 m'
_space_group_IT_number 216
_space_group_name_Hall 'F -4 2 3'
loop_
_atom_site_label
_atom_site_type_symbol
_atom_site_fract_x
_atom_site_fract_y
_atom_site_fract_z
_atom_site_occupancy
V1 V 0.000 0.000 0.000 1
Cr1 Cr 0.250 0.250 0.250 1
Tc1 Tc 0.250 0.250 0.750 1
Sb1 Sb 0.000 0.000 0.500 1
```


(4)
The following is a DFT calculation (GGA-PBE) of ZnCrTc2Sb after structural relaxation.

CIF file:
```
data_ZnCrTc2Sb
_chemical_formula_sum 'Zn1 Cr1 Tc2 Sb1'
_cell_length_a 4.880
_cell_length_b 4.880
_cell_length_c 4.740
_cell_angle_alpha 90.00
_cell_angle_beta 90.00
_cell_angle_gamma 90.00
_space_group_name_H-M_alt 'P 4/m m m'
_space_group_IT_number 123
_space_group_name_Hall '-P 4 2'
loop_
_atom_site_label
_atom_site_type_symbol
_atom_site_fract_x
_atom_site_fract_y
_atom_site_fract_z
_atom_site_occupancy
Zn1 Zn 0.000 0.000 0.000 1
Cr1 Cr 0.500 0.500 0.000 1
Tc1 Tc 0.000 0.500 0.500 1
Sb1 Sb 0.000 0.000 0.500 1
```


(5)
The following is a DFT calculation (GGA-PBE) of Zr2CrTcSb after structural relaxation.

CIF file:
```
data_Zr2CrTcSb
_chemical_formula_sum 'Zr2 Cr1 Tc1 Sb1'
_cell_length_a 4.898
_cell_length_b 4.898
_cell_length_c 4.402
_cell_angle_alpha 90.00
_cell_angle_beta 90.00
_cell_angle_gamma 90.00
_space_group_name_H-M_alt 'P 4/m m m'
_space_group_IT_number 123
_space_group_name_Hall '-P 4 2'
loop_
_atom_site_label
_atom_site_type_symbol
_atom_site_fract_x
_atom_site_fract_y
_atom_site_fract_z
_atom_site_occupancy
Zr1 Zr 0.000 0.500 0.000 1
Cr1 Cr 0.000 0.000 0.000 1
Tc1 Tc 0.000 0.000 0.500 1
Sb1 Sb 0.500 0.500 0.500 1
```


(6)
# GGA-PBE CrSbTe2, optimized geometry
data_CrSbTe2
_chemical_formula_sum 'Cr2 Sb2 Te4'
_cell_length_a 4.032
_cell_length_b 4.976
_cell_length_c 10.874
_cell_angle_alpha 90.00
_cell_angle_beta 90.00
_cell_angle_gamma 90.00
_space_group_name_H-M_alt 'C m m m'
_space_group_IT_number 65
_space_group_name_Hall '-C 2 2'
loop_
_atom_site_label
_atom_site_type_symbol
_atom_site_fract_x
_atom_site_fract_y
_atom_site_fract_z
_atom_site_occupancy
Cr1 Cr 0.000 0.000 0.000 1
Sb1 Sb 0.000 0.000 0.500 1
Te1 Te 0.000 0.500 0.173 1
# **E above lowest polymorph**: 0.278 eV/atom


(7)
# GGA-PBE Cr2SbTe, optimized geometry
data_Cr2SbTe
_chemical_formula_sum 'Cr4 Sb2 Te2'
_cell_length_a 4.054
_cell_length_b 4.054
_cell_length_c 10.438
_cell_angle_alpha 90.00
_cell_angle_beta 90.00
_cell_angle_gamma 90.00
_space_group_name_H-M_alt 'I -4 m 2'
_space_group_IT_number 119
_space_group_name_Hall 'I -4 -2'
loop_
_atom_site_label
_atom_site_type_symbol
_atom_site_fract_x
_atom_site_fract_y
_atom_site_fract_z
_atom_site_occupancy
Cr1 Cr 0.000 0.000 0.000 1
Cr2 Cr 0.000 0.500 0.250 1
Sb1 Sb 0.000 0.500 0.750 1
Te1 Te 0.000 0.000 0.500 1
# **E above lowest polymorph**: 0.368 eV/atom


(8)
# GGA-PBE Cr2SbTe, optimized geometry
data_Cr2SbTe
_chemical_formula_sum 'Cr2 Sb1 Te1'
_cell_length_a 3.981
_cell_length_b 5.613
_cell_length_c 3.982
_cell_angle_alpha 90.00
_cell_angle_beta 90.00
_cell_angle_gamma 90.00
_space_group_name_H-M_alt 'P m m 2'
_space_group_IT_number 25
_space_group_name_Hall 'P 2 -2'
loop_
_atom_site_label
_atom_site_type_symbol
_atom_site_fract_x
_atom_site_fract_y
_atom_site_fract_z
_atom_site_occupancy
Cr1 Cr 0.000 0.000 0.000 1
Cr2 Cr 0.500 0.500 0.495 1
Sb1 Sb 0.000 0.500 0.995 1
Te1 Te 0.500 0.000 0.500 1
# **E above lowest polymorph**: 0.115 eV/atom


(9)
# GGA-PBE CrSbTe2, optimized geometry
data_CrSbTe2
_chemical_formula_sum 'Cr2 Sb2 Te4'
_cell_length_a 3.693
_cell_length_b 4.655
_cell_length_c 12.561
_cell_angle_alpha 90.00
_cell_angle_beta 90.00
_cell_angle_gamma 90.00
_space_group_name_H-M_alt 'I m m 2'
_space_group_IT_number 44
_space_group_name_Hall 'I 2 -2'
loop_
_atom_site_label
_atom_site_type_symbol
_atom_site_fract_x
_atom_site_fract_y
_atom_site_fract_z
_atom_site_occupancy
Cr1 Cr 0.000 0.000 0.000 1
Sb1 Sb 0.000 0.500 0.685 1
Te1 Te 0.000 0.000 0.527 1
Te2 Te 0.000 0.500 0.336 1
# **E above lowest polymorph**: 0.160 eV/atom


(10)
The following is a DFT calculation (GGA-PBE) of CrSb4Te after structural relaxation.

CIF file:
```
data_CrSb4Te
_chemical_formula_sum 'Cr4 Sb16 Te4'
_cell_length_a 8.806
_cell_length_b 8.806
_cell_length_c 8.806
_cell_angle_alpha 90.00
_cell_angle_beta 90.00
_cell_angle_gamma 90.00
_space_group_name_H-M_alt 'F -4 3 m'
_space_group_IT_number 216
_space_group_name_Hall 'F -4 2 3'
loop_
_atom_site_label
_atom_site_type_symbol
_atom_site_fract_x
_atom_site_fract_y
_atom_site_fract_z
_atom_site_occupancy
Cr1 Cr 0.000 0.000 0.000 1
Sb1 Sb 0.125 0.125 0.625 1
Te1 Te 0.250 0.250 0.250 1
```


(11)
# GGA-PBE Cr2SbTe, optimized geometry
data_Cr2SbTe
_chemical_formula_sum 'Cr8 Sb4 Te4'
_cell_length_a 6.566
_cell_length_b 6.566
_cell_length_c 6.566
_cell_angle_alpha 90.00
_cell_angle_beta 90.00
_cell_angle_gamma 90.00
_space_group_name_H-M_alt 'F m -3 m'
_space_group_IT_number 225
_space_group_name_Hall '-F 4 2 3'
loop_
_atom_site_label
_atom_site_type_symbol
_atom_site_fract_x
_atom_site_fract_y
_atom_site_fract_z
_atom_site_occupancy
Cr1 Cr 0.250 0.250 0.250 1
Sb1 Sb 0.000 0.000 0.000 1
Te1 Te 0.000 0.000 0.500 1
# **E above lowest polymorph**: 0.460 eV/atom


(12)
# GGA-PBE CrSb3Te, optimized geometry
data_CrSb3Te
_chemical_formula_sum 'Cr1 Sb3 Te1'
_cell_length_a 5.041
_cell_length_b 5.041
_cell_length_c 5.041
_cell_angle_alpha 90.00
_cell_angle_beta 90.00
_cell_angle_gamma 90.00
_space_group_name_H-M_alt 'P m -3 m'
_space_group_IT_number 221
_space_group_name_Hall '-P 4 2 3'
loop_
_atom_site_label
_atom_site_type_symbol
_atom_site_fract_x
_atom_site_fract_y
_atom_site_fract_z
_atom_site_occupancy
Cr1 Cr 0.000 0.000 0.000 1
Sb1 Sb 0.000 0.000 0.500 1
Te1 Te 0.500 0.500 0.500 1
# **E above lowest polymorph**: 0.000 eV/atom


(13)
# GGA-PBE CrSbTe2, optimized geometry
data_CrSbTe2
_chemical_formula_sum 'Cr2 Sb2 Te4'
_cell_length_a 7.355
_cell_length_b 4.259
_cell_length_c 7.488
_cell_angle_alpha 90.00
_cell_angle_beta 109.28
_cell_angle_gamma 90.00
_space_group_name_H-M_alt 'C 1 2/m 1'
_space_group_IT_number 12
_space_group_name_Hall '-C 2y'
loop_
_atom_site_label
_atom_site_type_symbol
_atom_site_fract_x
_atom_site_fract_y
_atom_site_fract_z
_atom_site_occupancy
Cr1 Cr 0.000 0.000 0.000 1
Sb1 Sb 0.000 0.500 0.500 1
Te1 Te 0.240 0.500 0.217 1
# **E above lowest polymorph**: 0.091 eV/atom


(14)
# GGA-PBE CrSbTe2, optimized geometry
data_CrSbTe2
_chemical_formula_sum 'Cr1 Sb1 Te2'
_cell_length_a 3.142
_cell_length_b 3.142
_cell_length_c 10.694
_cell_angle_alpha 90.00
_cell_angle_beta 90.00
_cell_angle_gamma 90.00
_space_group_name_H-M_alt 'P 4 m m'
_space_group_IT_number 99
_space_group_name_Hall 'P 4 -2'
loop_
_atom_site_label
_atom_site_type_symbol
_atom_site_fract_x
_atom_site_fract_y
_atom_site_fract_z
_atom_site_occupancy
Cr1 Cr 0.000 0.000 0.000 1
Sb1 Sb 0.500 0.500 0.174 1
Te1 Te 0.000 0.000 0.518 1
Te2 Te 0.500 0.500 0.856 1
# **E above lowest polymorph**: 0.192 eV/atom


(15)
# GGA-PBE CrSbTe2, optimized geometry
data_CrSbTe2
_chemical_formula_sum 'Cr2 Sb2 Te4'
_cell_length_a 4.034
_cell_length_b 5.169
_cell_length_c 10.359
_cell_angle_alpha 90.00
_cell_angle_beta 90.00
_cell_angle_gamma 90.00
_space_group_name_H-M_alt 'A m m 2'
_space_group_IT_number 38
_space_group_name_Hall 'A 2 -2'
loop_
_atom_site_label
_atom_site_type_symbol
_atom_site_fract_x
_atom_site_fract_y
_atom_site_fract_z
_atom_site_occupancy
Cr1 Cr 0.000 0.000 0.000 1
Sb1 Sb 0.500 0.000 0.177 1
Te1 Te 0.000 0.000 0.511 1
Te2 Te 0.500 0.000 0.823 1
# **E above lowest polymorph**: 0.043 eV/atom


Respective ρ values: 6531, 11765, 8998, 6401, 7142, 6529, 6839, 6594, 6598, 6485, 8292, 7063, 6434, 6745, 6597 kg/m³.
Respective uncorrected formation energy values: 103, 10, 1, 202, 36, 26, 38, 14, 14, 56, 47, 26, 8, 18, 3 kJ/mol of atoms.